No. 1
Density functional theory data (PBE) for crystalline Ac3AgRuCl at its relaxed geometry.

Cell: 4.469 9.051 9.886 Å, 96.97 90.00 90.00°
Positions (direct):
Ac1 0.750 0.283 0.561
Ac2 0.250 0.717 0.439
Cl1 0.750 0.932 0.406
Ag1 0.750 0.819 0.757
Ac3 0.750 0.861 0.112
Ac4 0.750 0.429 0.157
Ru1 0.250 0.654 0.152
Ru2 0.750 0.346 0.848
Cl2 0.250 0.068 0.594
Ag2 0.250 0.181 0.243
Ac5 0.250 0.139 0.888
Ac6 0.250 0.571 0.843

Summary:
M_tot = 0.00 μB per formula unit
Raw formation energy = -0.59 eV per atom
Space-group type = P2_1/m, No. 11



No. 2
Density functional theory data (PBE) for crystalline Ac6AgRu2Cl3 at its relaxed geometry.

Cell: 7.588 7.588 8.421 Å, 98.34 98.34 120.15°
Positions (direct):
Ag1 0.000 0.000 0.000
Ru1 0.666 0.334 0.000
Ac1 0.706 0.706 0.206
Ac2 0.427 0.067 0.206
Ac3 0.573 0.933 0.794
Ru2 0.334 0.666 0.000
Cl1 0.821 0.179 0.500
Cl2 0.500 0.500 0.500
Ac4 0.294 0.294 0.794
Ac5 0.067 0.427 0.206
Cl3 0.179 0.821 0.500
Ac6 0.933 0.573 0.794

Summary:
M_tot = 0.00 μB per formula unit
Raw formation energy = -0.96 eV per atom
Space-group type = C2/m, No. 12



No. 3
Density functional theory data (PBE) for crystalline Ac2Ag2S3Cl2 at its relaxed geometry.

Cell: 4.957 4.957 10.111 Å, 104.19 104.19 90.00°
Positions (direct):
Ac1 0.830 0.830 0.660
Cl1 0.603 0.603 0.206
S1 0.750 0.250 0.500
Ag1 0.500 0.000 0.000
Ag2 0.000 0.500 0.000
Cl2 0.397 0.397 0.794
S2 0.250 0.750 0.500
Ac2 0.170 0.170 0.340
S3 0.000 0.000 0.000

Summary:
M_tot = 0.00 μB per formula unit
Raw formation energy = -1.41 eV per atom
Space-group type = I4/mmm, No. 139



No. 4
Density functional theory data (PBE) for crystalline AcAgSnCl6 at its relaxed geometry.

Cell: 6.701 6.701 12.939 Å, 90.00 90.00 90.00°
Positions (direct):
Cl1 0.199 0.801 0.165
Cl2 0.301 0.301 0.665
Sn1 0.000 0.000 0.001
Ag1 0.000 0.000 0.665
Cl3 0.694 0.694 0.328
Cl4 0.802 0.198 0.506
Sn2 0.500 0.500 0.501
Ac1 0.500 0.500 0.835
Cl5 0.806 0.194 0.828
Cl6 0.801 0.199 0.165
Cl7 0.699 0.699 0.665
Ag2 0.500 0.500 0.165
Cl8 0.306 0.306 0.328
Cl9 0.698 0.698 0.006
Ac2 0.000 0.000 0.335
Cl10 0.302 0.302 0.006
Cl11 0.194 0.806 0.828
Cl12 0.198 0.802 0.506

Summary:
M_tot = 0.00 μB per formula unit
Raw formation energy = -1.48 eV per atom
Space-group type = P4_2nm, No. 102



No. 5
Density functional theory data (PBE) for crystalline AcTlAgCl5 at its relaxed geometry.

Cell: 7.891 7.891 10.597 Å, 102.39 102.39 109.33°
Positions (direct):
Cl1 0.095 0.905 0.250
Cl2 0.936 0.324 0.126
Cl3 0.064 0.676 0.874
Cl4 0.267 0.382 0.561
Ac1 0.000 0.000 0.000
Tl1 0.362 0.638 0.250
Tl2 0.638 0.362 0.750
Ag1 0.685 0.315 0.250
Cl5 0.382 0.267 0.061
Cl6 0.733 0.618 0.439
Ag2 0.315 0.685 0.750
Cl7 0.324 0.936 0.626
Cl8 0.676 0.064 0.374
Cl9 0.905 0.095 0.750
Cl10 0.618 0.733 0.939
Ac2 0.000 0.000 0.500

Summary:
M_tot = 0.00 μB per formula unit
Raw formation energy = -1.56 eV per atom
Space-group type = C2/c, No. 15



No. 6
Density functional theory data (PBE) for crystalline AcTl2AgCl6 at its relaxed geometry.

Cell: 7.541 7.974 10.645 Å, 90.00 91.25 90.00°
Positions (direct):
Cl1 0.811 0.806 0.945
Cl2 0.189 0.194 0.055
Cl3 0.613 0.033 0.260
Ac1 0.000 0.500 0.500
Tl1 0.475 0.428 0.253
Cl4 0.689 0.306 0.555
Cl5 0.694 0.301 0.944
Ag1 0.500 0.000 0.500
Cl6 0.194 0.199 0.444
Cl7 0.806 0.801 0.556
Tl2 0.025 0.928 0.247
Cl8 0.311 0.694 0.445
Tl3 0.975 0.072 0.753
Cl9 0.306 0.699 0.056
Cl10 0.387 0.967 0.740
Cl11 0.887 0.533 0.240
Ac2 0.500 0.000 0.000
Tl4 0.525 0.572 0.747
Cl12 0.113 0.467 0.760
Ag2 0.000 0.500 0.000

Summary:
M_tot = 0.00 μB per formula unit
Raw formation energy = -1.45 eV per atom
Space-group type = P2_1/c, No. 14



No. 7
Density functional theory data (PBE) for crystalline Ac19Co6Ag4 at its relaxed geometry.

Cell: 10.914 10.914 10.914 Å, 109.47 109.47 109.47°
Positions (direct):
Co1 0.687 0.500 0.187
Ac1 0.346 0.989 0.757
Ac2 0.643 0.654 0.411
Co2 0.187 0.687 0.500
Ac3 0.646 0.646 0.000
Ac4 0.243 0.232 0.589
Ac5 0.011 0.357 0.768
Ac6 0.232 0.589 0.243
Ac7 0.411 0.643 0.654
Ac8 0.354 0.000 0.354
Ac9 0.757 0.346 0.989
Ag1 0.326 0.326 0.326
Ag2 0.000 0.674 0.000
Ac10 0.000 0.646 0.646
Co3 0.500 0.187 0.687
Co4 0.500 0.813 0.313
Ac11 0.357 0.768 0.011
Co5 0.313 0.500 0.813
Ag3 0.674 0.000 0.000
Ac12 0.989 0.757 0.346
Ac13 0.354 0.354 0.000
Ac14 0.654 0.411 0.643
Ac15 0.768 0.011 0.357
Ac16 0.000 0.000 0.000
Ag4 0.000 0.000 0.674
Co6 0.813 0.313 0.500
Ac17 0.000 0.354 0.354
Ac18 0.589 0.243 0.232
Ac19 0.646 0.000 0.646

Summary:
M_tot = 0.00 μB per formula unit
Space-group type = I23, No. 197
Total DFT energy (no corrections) = -4.58 eV/atom



No. 8
Density functional theory data (PBE) for crystalline Ac8Co3Ag at its relaxed geometry.

Cell: 8.775 8.781 8.311 Å, 121.85 90.00 119.98°
Positions (direct):
Ac1 0.746 0.492 0.239
Ac2 0.284 0.025 0.766
Co1 0.500 0.500 0.000
Ac3 0.259 0.975 0.234
Ac4 0.741 0.483 0.767
Ag1 0.000 0.000 0.000
Co2 0.000 0.500 0.000
Ac5 0.716 0.975 0.234
Ac6 0.741 0.025 0.766
Co3 0.500 0.000 0.000
Ac7 0.259 0.517 0.233
Ac8 0.254 0.508 0.761

Summary:
M_tot = 0.00 μB per formula unit
Space-group type = C2/m, No. 12
Total DFT energy (no corrections) = -4.79 eV/atom



No. 9
Density functional theory data (PBE) for crystalline Ac2Co2Ag at its relaxed geometry.

Cell: 4.200 4.052 7.583 Å, 105.49 90.00 90.00°
Site moments in Bohr magnetons follow the coordinates.
Positions (direct):
Co1 0.000 0.785 0.570  1.05
Co2 0.000 0.215 0.430  1.05
Ac1 0.500 0.632 0.265  -0.07
Ag1 0.000 0.000 0.000  0.01
Ac2 0.500 0.368 0.735  -0.07

Summary:
M_tot = 1.73 μB per formula unit
Space-group type = Cmmm, No. 65
Total DFT energy (no corrections) = -5.15 eV/atom



No. 10
Density functional theory data (PBE) for crystalline Ac6Co3Ag at its relaxed geometry.

Cell: 4.264 12.342 14.091 Å, 120.63 90.00 90.00°
Positions (direct):
Co1 0.750 0.932 0.840
Ac1 0.750 0.977 0.233
Ac2 0.250 0.849 0.931
Ag1 0.750 0.636 0.925
Ag2 0.250 0.364 0.075
Co2 0.250 0.232 0.724
Co3 0.250 0.611 0.448
Ac3 0.750 0.343 0.883
Co4 0.750 0.389 0.552
Ac4 0.750 0.151 0.069
Ac5 0.250 0.326 0.392
Ac6 0.250 0.657 0.117
Ac7 0.750 0.162 0.565
Ac8 0.250 0.464 0.710
Co5 0.250 0.068 0.160
Ac9 0.750 0.674 0.608
Ac10 0.250 0.838 0.435
Ac11 0.250 0.023 0.767
Ac12 0.750 0.536 0.290
Co6 0.750 0.768 0.276

Summary:
M_tot = 0.00 μB per formula unit
Space-group type = P2_1/m, No. 11
Total DFT energy (no corrections) = -4.94 eV/atom



No. 11
Density functional theory data (PBE) for crystalline Ac8Co2Ag3 at its relaxed geometry.

Cell: 6.930 7.784 9.126 Å, 115.24 99.36 90.00°
Positions (direct):
Ag1 0.500 0.000 0.000
Ac1 0.805 0.581 0.162
Ag2 0.000 0.174 0.000
Ac2 0.369 0.392 0.287
Ag3 0.000 0.826 0.000
Ac3 0.369 0.895 0.287
Ac4 0.631 0.105 0.713
Ac5 0.195 0.419 0.838
Co1 0.332 0.268 0.536
Ac6 0.102 0.813 0.626
Ac7 0.631 0.608 0.713
Co2 0.668 0.732 0.464
Ac8 0.898 0.187 0.374

Summary:
M_tot = 0.00 μB per formula unit
Space-group type = C2/m, No. 12
Total DFT energy (no corrections) = -4.34 eV/atom



No. 12
Density functional theory data (PBE) for crystalline Ac6CoAg2 at its relaxed geometry.

Cell: 7.350 7.989 11.106 Å, 90.00 87.08 90.00°
Positions (direct):
Ac1 0.328 0.808 0.941
Ac2 0.828 0.692 0.441
Ac3 0.369 0.529 0.248
Ac4 0.689 0.190 0.444
Ac5 0.811 0.690 0.056
Ag1 0.945 0.400 0.238
Ag2 0.445 0.100 0.738
Ac6 0.131 0.029 0.252
Ag3 0.555 0.900 0.262
Ac7 0.631 0.471 0.752
Ac8 0.172 0.308 0.559
Co1 0.000 0.000 0.500
Ac9 0.189 0.310 0.944
Ac10 0.311 0.810 0.556
Ac11 0.869 0.971 0.748
Ac12 0.672 0.192 0.059
Ag4 0.055 0.600 0.762
Co2 0.500 0.500 0.000

Summary:
M_tot = 0.00 μB per formula unit
Space-group type = P2_1/c, No. 14
Total DFT energy (no corrections) = -4.28 eV/atom



No. 13
Density functional theory data (PBE) for crystalline Ac8Co3Ag2 at its relaxed geometry.

Cell: 7.275 8.510 9.168 Å, 117.65 106.95 90.00°
Positions (direct):
Ag1 0.983 0.749 0.498
Ag2 0.017 0.251 0.502
Ac1 0.251 0.654 0.795
Co1 0.000 0.257 0.000
Co2 0.000 0.743 0.000
Ac2 0.749 0.860 0.205
Ac3 0.749 0.346 0.205
Ac4 0.242 0.103 0.207
Ac5 0.225 0.609 0.217
Co3 0.500 0.000 0.000
Ac6 0.251 0.140 0.795
Ac7 0.758 0.897 0.793
Ac8 0.775 0.391 0.783

Summary:
M_tot = 0.00 μB per formula unit
Space-group type = C2/m, No. 12
Total DFT energy (no corrections) = -4.67 eV/atom



No. 14
Density functional theory data (PBE) for crystalline Ac4CoAg2 at its relaxed geometry.

Cell: 4.459 6.756 8.246 Å, 101.03 105.69 90.00°
Positions (direct):
Ag1 0.233 0.360 0.467
Ag2 0.767 0.640 0.533
Ac1 0.426 0.733 0.852
Ac2 0.150 0.827 0.301
Co1 0.000 0.000 0.000
Ac3 0.574 0.267 0.148
Ac4 0.850 0.173 0.699

Summary:
Energy above the lowest structure with this stoichiometry = 0.00 eV per formula unit
M_tot = 0.00 μB per formula unit
Space-group type = C2/m, No. 12



No. 15
Density functional theory data (PBE) for crystalline Ac3CoAg2 at its relaxed geometry.

Cell: 5.440 8.154 8.603 Å, 90.00 71.53 90.00°
Positions (direct):
Ac1 0.866 0.000 0.268
Ag1 0.295 0.250 0.409
Ac2 0.866 0.500 0.269
Co1 0.000 0.250 0.000
Ac3 0.500 0.250 0.000
Ac4 0.500 0.750 0.000
Co2 0.000 0.750 0.000
Ag2 0.705 0.750 0.591
Ag3 0.704 0.250 0.591
Ag4 0.296 0.750 0.409
Ac5 0.134 0.000 0.732
Ac6 0.134 0.500 0.731

Summary:
M_tot = 0.00 μB per formula unit
Space-group type = Cmmm, No. 65
Total DFT energy (no corrections) = -4.34 eV/atom



No. 16
Density functional theory data (PBE) for crystalline Ac7Co2Ag2 at its relaxed geometry.

Cell: 4.054 10.191 10.191 Å, 62.44 78.53 78.53°
Positions (direct):
Ac1 0.812 0.096 0.280
Co1 0.742 0.865 0.650
Ac2 0.145 0.103 0.608
Ac3 0.500 0.012 0.988
Ac4 0.373 0.731 0.524
Ag1 0.500 0.347 0.653
Ac5 0.627 0.476 0.269
Ac6 0.855 0.392 0.897
Ag2 0.000 0.760 0.240
Co2 0.258 0.350 0.135
Ac7 0.188 0.720 0.904

Summary:
M_tot = 0.00 μB per formula unit
Space-group type = Imm2, No. 44
Total DFT energy (no corrections) = -4.49 eV/atom